Material: NiP2RuO
Method: DFT, PBE+U
State: relaxed

CIF file:
```
data_NiP2RuO
_cell_length_a 4.749
_cell_length_b 4.749
_cell_length_c 3.632
_cell_angle_alpha 90.00
_cell_angle_beta 90.00
_cell_angle_gamma 90.00
_symmetry_space_group_name_H-M 'P 4/m m m'
_symmetry_Int_Tables_number 123
_symmetry_space_group_name_Hall '-P 4 2'
loop_
_atom_site_label
_atom_site_fract_x
_atom_site_fract_y
_atom_site_fract_z
Ni1 0.000 0.000 0.000
P1 0.000 0.500 0.500
Ru1 0.500 0.500 0.500
O1 0.500 0.500 0.000
```

Values from the calculation:
Density   4.82 Mg/m³
Raw total energy   -5.11 eV/atom
Fermi-level density of states   0.60 states/eV/atom